This record from Alexandria describes a geometry-optimized KY2Br structure. The functional is PBE.

Output
Calculated total energy = -3.99 eV per atom
Spin magnetization = 0.00 μB per formula unit

Structure (POSCAR):
```
KY2Br
1.0
3.513 0.000 0.000
0.000 3.513 0.000
0.000 0.000 10.926
K Y Br
1 2 1
Direct
0.000 0.000 0.000 K
0.500 0.500 0.315 Y
0.500 0.500 0.685 Y
0.000 0.000 0.500 Br
```

=====

This record from Alexandria describes a geometry-optimized KY2Br structure. The functional is PBE.

Output
Calculated total energy = -3.96 eV per atom
Spin magnetization = 0.63 μB per formula unit

Structure (POSCAR):
```
KY2Br
1.0
4.610 0.000 0.000
0.000 4.610 0.000
0.000 0.000 7.211
K Y Br
1 2 1
Direct
0.000 0.000 0.000 K
0.000 0.500 0.500 Y
0.500 0.000 0.500 Y
0.500 0.500 0.000 Br
```

=====

This record from Alexandria describes a geometry-optimized KY2Br structure. The functional is PBE.

Output
Calculated total energy = -4.04 eV per atom
Spin magnetization = 1.44 μB per formula unit

Structure (POSCAR):
```
KY2Br
1.0
-1.821 3.510 5.940
1.821 -3.510 5.940
1.821 3.510 -5.940
K Y Br
1 2 1
Direct
0.000 0.000 0.000 K
0.326 0.826 0.500 Y
0.574 0.574 0.000 Y
0.768 0.268 0.500 Br
```

=====

Record order is preserved below.
Excess energy over the best structure of this formula in the dataset: 0.4406, 0.4778, 0.3970 eV per atom